First-principles (SCAN) data for BaFe2Te at its PBEsol-relaxed geometry, as listed in Alexandria.

```
data_BaFe2Te
_chemical_formula_sum 'Ba3 Fe6 Te3'
_cell_length_a 4.3587
_cell_length_b 4.3587
_cell_length_c 16.9937
_cell_angle_alpha 90.00
_cell_angle_beta 90.00
_cell_angle_gamma 120.00
_symmetry_space_group_name_H-M 'R -3 m'
_symmetry_Int_Tables_number 166
_symmetry_space_group_name_Hall '-R 3 2"'
loop_
_atom_site_label
_atom_site_type_symbol
_atom_site_fract_x
_atom_site_fract_y
_atom_site_fract_z
Ba1 Ba 0.0000 0.0000 0.0000
Fe1 Fe 0.0000 0.0000 0.1786
Te1 Te 0.0000 0.0000 0.5000
```

Calculated values
Calculated total energy, eV/cell: -339.49